Entry 1:
Here is an optimized crystal structure of Nd3Ho5Ru2 from the Alexandria database. Energies are from PBE-GGA.

The formation energy comes out at -0.03 eV per atom. As for the space-group type: Ibam (72). For the size of the total moment, the calculation gives 0.00 μB per atom.

a = 9.961 Å, b = 9.961 Å, c = 9.961 Å
α = 104.88°, β = 88.70°, γ = 139.98°
Fractional coordinates of all 20 atoms:
Nd (0.178, 0.239, 0.417)
Nd (0.250, 0.250, 0.000)
Nd (0.322, 0.739, 0.061)
Nd (0.678, 0.261, 0.939)
Nd (0.750, 0.750, 0.000)
Nd (0.822, 0.761, 0.583)
Ho (0.025, 0.750, 0.275)
Ho (0.066, 0.716, 0.782)
Ho (0.250, 0.750, 0.500)
Ho (0.434, 0.216, 0.650)
Ho (0.475, 0.750, 0.725)
Ho (0.525, 0.250, 0.275)
Ho (0.566, 0.784, 0.350)
Ho (0.750, 0.250, 0.500)
Ho (0.934, 0.284, 0.218)
Ho (0.975, 0.250, 0.725)
Ru (0.161, 0.894, 0.054)
Ru (0.339, 0.394, 0.733)
Ru (0.661, 0.606, 0.267)
Ru (0.839, 0.106, 0.946)

***

Entry 2:
Here is an optimized crystal structure of BePd3N from the Alexandria database. Energies are from PBE-GGA.

As for the space-group type: Pm-3m (221). The value obtained for the raw formation energy is 0.29 eV/atom. For the size of the total moment, the calculation gives 0.00 μB per atom. Its distance to the lowest polymorph of the same formula is 0.000 eV per atom.

a = 4.082 Å, b = 4.082 Å, c = 4.082 Å
α = 90.00°, β = 90.00°, γ = 90.00°
Fractional coordinates of all 5 atoms:
Be (0.000, 0.000, 0.000)
Pd (0.000, 0.500, 0.500)
Pd (0.500, 0.000, 0.500)
Pd (0.500, 0.500, 0.000)
N (0.500, 0.500, 0.500)

***

Entry 3:
Here is an optimized crystal structure of YIn2Os from the Alexandria database. Energies are from PBE-GGA.

The formation energy comes out at 0.03 eV per atom. As for the space-group type: P4/mmm (123). For the size of the total moment, the calculation gives 0.00 μB per atom.

a = 4.251 Å, b = 4.251 Å, c = 4.656 Å
α = 90.00°, β = 90.00°, γ = 90.00°
Fractional coordinates of all 4 atoms:
Y (0.000, 0.000, 0.000)
In (0.000, 0.500, 0.500)
In (0.500, 0.000, 0.500)
Os (0.500, 0.500, 0.000)

***

Entry 4:
Here is an optimized crystal structure of CaScAg from the Alexandria database. Energies are from PBE-GGA.

The formation energy comes out at 0.11 eV per atom. As for the space-group type: F-43m (216). For the size of the total moment, the calculation gives 0.05 μB per atom. Its distance to the lowest polymorph of the same formula is 0.214 eV per atom.

a = 4.946 Å, b = 4.946 Å, c = 4.946 Å
α = 60.00°, β = 60.00°, γ = 60.00°
Fractional coordinates of all 3 atoms:
Ca (0.000, 0.000, 0.000)
Sc (0.500, 0.500, 0.500)
Ag (0.750, 0.750, 0.750)

***

Entry 5:
Here is an optimized crystal structure of Na2ReCl from the Alexandria database. Energies are from PBE-GGA.

As for the space-group type: I-42d (122). The value obtained for the raw formation energy is 0.84 eV/atom. For the size of the total moment, the calculation gives 0.26 μB per atom. Its distance to the lowest polymorph of the same formula is 0.000 eV per atom.

a = 7.267 Å, b = 7.267 Å, c = 7.267 Å
α = 95.33°, β = 95.33°, γ = 144.52°
Fractional coordinates of all 8 atoms:
Na (0.375, 0.249, 0.374)
Na (0.751, 0.125, 0.126)
Na (0.875, 0.001, 0.626)
Na (0.999, 0.625, 0.874)
Re (0.250, 0.750, 0.500)
Re (0.500, 0.500, 0.000)
Cl (0.000, 0.000, 0.000)
Cl (0.750, 0.250, 0.500)

***

Entry 6:
Here is an optimized crystal structure of TbTh2In9 from the Alexandria database. Energies are from PBE-GGA.

The formation energy comes out at -0.38 eV per atom. As for the space-group type: P4/mmm (123). For the size of the total moment, the calculation gives 0.00 μB per atom.

a = 4.714 Å, b = 4.714 Å, c = 14.101 Å
α = 90.00°, β = 90.00°, γ = 90.00°
Fractional coordinates of all 12 atoms:
Tb (0.000, 0.000, 0.000)
Th (0.000, 0.000, 0.331)
Th (0.000, 0.000, 0.669)
In (0.000, 0.500, 0.162)
In (0.000, 0.500, 0.500)
In (0.000, 0.500, 0.838)
In (0.500, 0.000, 0.162)
In (0.500, 0.000, 0.500)
In (0.500, 0.000, 0.838)
In (0.500, 0.500, 0.000)
In (0.500, 0.500, 0.332)
In (0.500, 0.500, 0.668)

***

Entry 7:
Here is an optimized crystal structure of Ba2Pd4PtPb3 from the Alexandria database. Energies are from PBE-GGA.

The formation energy comes out at -0.45 eV per atom. As for the space-group type: P-4m2 (115). For the size of the total moment, the calculation gives 0.00 μB per atom.

a = 4.779 Å, b = 4.779 Å, c = 11.151 Å
α = 90.00°, β = 90.00°, γ = 90.00°
Fractional coordinates of all 10 atoms:
Ba (0.000, 0.500, 0.240)
Ba (0.500, 0.000, 0.760)
Pd (0.000, 0.000, 0.500)
Pd (0.000, 0.500, 0.871)
Pd (0.500, 0.000, 0.129)
Pd (0.500, 0.500, 0.500)
Pt (0.500, 0.500, 0.000)
Pb (0.000, 0.000, 0.000)
Pb (0.000, 0.500, 0.622)
Pb (0.500, 0.000, 0.378)

***

Entry 8:
Here is an optimized crystal structure of Be2RePb from the Alexandria database. Energies are from PBE-GGA.

The formation energy comes out at 0.52 eV per atom. As for the space-group type: C2/m (12). For the size of the total moment, the calculation gives 0.00 μB per atom.

a = 4.510 Å, b = 4.510 Å, c = 4.600 Å
α = 101.40°, β = 101.40°, γ = 43.52°
Fractional coordinates of all 4 atoms:
Be (0.212, 0.212, 0.087)
Be (0.788, 0.788, 0.913)
Re (0.500, 0.500, 0.000)
Pb (0.000, 0.000, 0.500)

***

Entry 9:
Here is an optimized crystal structure of NdRhO3 from the Alexandria database. Energies are from PBE-GGA.

As for the space-group type: Pnma (62). The value obtained for the raw formation energy is -2.08 eV/atom. For the size of the total moment, the calculation gives 0.00 μB per atom.

a = 5.911 Å, b = 7.841 Å, c = 5.407 Å
α = 90.00°, β = 90.00°, γ = 90.00°
Fractional coordinates of all 20 atoms:
Nd (0.079, 0.250, 0.027)
Nd (0.421, 0.750, 0.527)
Nd (0.579, 0.250, 0.473)
Nd (0.921, 0.750, 0.973)
Rh (0.000, 0.000, 0.500)
Rh (0.000, 0.500, 0.500)
Rh (0.500, 0.000, 0.000)
Rh (0.500, 0.500, 0.000)
O (0.038, 0.750, 0.384)
O (0.195, 0.555, 0.817)
O (0.195, 0.945, 0.817)
O (0.305, 0.055, 0.317)
O (0.305, 0.445, 0.317)
O (0.462, 0.250, 0.884)
O (0.538, 0.750, 0.116)
O (0.695, 0.555, 0.683)
O (0.695, 0.945, 0.683)
O (0.805, 0.055, 0.183)
O (0.805, 0.445, 0.183)
O (0.962, 0.250, 0.616)

***

Values for DFT total energy, eV per cell, ordered as above
-112.006 -26.177 -23.031 -10.865 -27.176 -48.628 -46.253 -21.527 -149.491